{"formula": "PuSi2Mo", "functional": "PBE-GGA", "state": "relaxed", "lattice_angstrom": [[1.7947, 1.0362, 6.7538], [-1.7947, 1.0362, 6.7538], [0.0000, -2.0723, 6.7538]], "species": ["Pu", "Si", "Si", "Mo"], "frac_coords": [[0.0000, 0.0000, 0.0000], [0.2374, 0.2374, 0.2374], [0.7626, 0.7626, 0.7626], [0.5000, 0.5000, 0.5000]], "raw_formation_energy_ev_per_fu": -0.53, "dos_at_fermi_per_ev_fu": 8.76, "space_group": "R-3m (166)"}